Density functional theory data (PBE) for Zr2MnIr2 after structural relaxation.

Cell lengths 6.417, 6.417, 4.292 Å; angles 90.00, 90.00, 90.00 degrees
Fractional coordinates of all 10 atoms:
Ir 0.640 0.140 0.000
Ir 0.140 0.360 0.000
Ir 0.860 0.640 0.000
Ir 0.360 0.860 0.000
Zr 0.824 0.324 0.500
Zr 0.676 0.824 0.500
Zr 0.324 0.176 0.500
Zr 0.176 0.676 0.500
Mn 0.000 0.000 0.000
Mn 0.500 0.500 0.000

## Properties
The calculation puts the energy of formation at -0.374 eV per atom. As for the total DFT energy (no corrections): -91.72 eV/cell. The volume comes out at 176.74 Å³ per cell.

Density functional theory data (PBE) for Li4Pm3PuSe8 after structural relaxation.

Cell lengths 8.340, 8.096, 8.339 Å; angles 121.03, 120.01, 90.00 degrees
Each line ends with the local moment (μB).
Fractional coordinates of all 16 atoms:
Se 0.755 0.757 0.006  -0.04
Se 0.753 0.759 0.507  0.00
Se 0.245 0.243 0.994  -0.04
Se 0.247 0.241 0.493  0.00
Se 0.749 0.243 0.994  -0.04
Se 0.251 0.757 0.006  -0.04
Se 0.749 0.243 0.497  -0.04
Se 0.251 0.757 0.503  -0.04
Li 0.000 0.000 0.000  0.00
Li 0.500 0.000 0.500  0.00
Li 0.000 0.000 0.500  0.00
Li 0.500 0.000 0.000  0.00
Pm 0.500 0.500 0.000  0.02
Pm 0.000 0.500 0.500  0.02
Pm 0.500 0.500 0.500  0.02
Pu 0.000 0.500 0.000  5.07

## Properties
Its formation energy from raw total energies is -1.59 eV/atom. As for the total DFT energy (no corrections): -89.61 eV/cell. The volume comes out at 391.80 Å³ per cell.

Density functional theory data (PBE) for NaIn2Ga6 after structural relaxation.

Cell lengths 3.845, 7.759, 7.759 Å; angles 60.00, 89.94, 89.94 degrees
Fractional coordinates of all 9 atoms:
Ga 0.998 0.165 0.500
Ga 0.002 0.835 0.500
Ga 0.998 0.500 0.165
Ga 0.002 0.500 0.835
Ga 0.000 0.835 0.165
Ga 0.000 0.165 0.835
In 0.500 0.167 0.167
In 0.500 0.833 0.833
Na 0.500 0.500 0.500

## Properties
The calculation puts the energy of formation at -0.011 eV per atom. As for the total DFT energy (no corrections): -25.06 eV/cell. The volume comes out at 200.44 Å³ per cell.

Density functional theory data (PBE) for KTl2Ru after structural relaxation.

Cell lengths 5.912, 5.912, 3.133 Å; angles 82.18, 82.18, 110.74 degrees
Each line ends with the local moment (μB).
Fractional coordinates of all 4 atoms:
Tl 0.000 0.000 0.000  -0.01
Tl 0.500 0.500 0.000  -0.01
Ru 0.000 0.500 0.500  1.43
K 0.500 0.000 0.500  0.00

## Properties
The calculation puts the energy of formation at 0.728 eV per atom. As for the total DFT energy (no corrections): -12.19 eV/cell. The volume comes out at 99.41 Å³ per cell.